1.
A relaxed LaPr6Sm5 crystal, computed with GGA-PBE.

Lattice parameters (Å, degrees): 11.642 5.215 8.255 71.60 81.79 63.32
Fractional positions:
1 La 0.000 0.000 0.000
2 Pr 0.749 0.085 0.334
3 Pr 0.251 0.582 0.334
4 Pr 0.252 0.247 0.000
5 Pr 0.748 0.753 0.000
6 Pr 0.749 0.418 0.666
7 Pr 0.251 0.915 0.666
8 Sm 0.500 0.167 0.666
9 Sm 0.000 0.332 0.336
10 Sm 0.500 0.500 0.000
11 Sm 0.000 0.668 0.664
12 Sm 0.500 0.833 0.334

Calculated values
energy above the most stable polymorph in this dataset = 0 meV/atom
crystal system = triclinic
VASP energy = -4.75 eV/atom
magnetic moment = 0.000 μB/f.u.

***

2.
A relaxed La2PrSm4 crystal, computed with GGA-PBE.

Lattice parameters (Å, degrees): 6.305 6.726 11.976 90.00 105.62 90.00
Fractional positions:
1 La 0.607 0.750 0.004
2 La 0.393 0.250 0.996
3 La 0.302 0.250 0.448
4 La 0.698 0.750 0.552
5 Pr 0.159 0.750 0.147
6 Pr 0.841 0.250 0.853
7 Sm 0.641 0.496 0.286
8 Sm 0.993 0.750 0.839
9 Sm 0.007 0.250 0.161
10 Sm 0.641 0.004 0.286
11 Sm 0.863 0.250 0.566
12 Sm 0.359 0.996 0.714
13 Sm 0.359 0.504 0.714
14 Sm 0.137 0.750 0.434

Calculated values
energy above the most stable polymorph in this dataset = 0 meV/atom
crystal system = monoclinic
VASP energy = -4.68 eV/atom
magnetic moment = 0.000 μB/f.u.

***

3.
A relaxed La5Pr3Sm4 crystal, computed with GGA-PBE.

Lattice parameters (Å, degrees): 7.371 11.719 13.364 151.32 56.34 129.25
Fractional positions:
1 La 0.334 0.668 0.833
2 La 0.500 0.000 0.500
3 La 0.748 0.501 0.000
4 La 0.252 0.499 0.000
5 La 0.666 0.332 0.167
6 Pr 0.587 0.168 0.333
7 Pr 0.000 0.000 0.500
8 Pr 0.413 0.832 0.667
9 Sm 0.918 0.832 0.667
10 Sm 0.836 0.670 0.835
11 Sm 0.164 0.330 0.165
12 Sm 0.082 0.168 0.333

Calculated values
energy above the most stable polymorph in this dataset = 0 meV/atom
crystal system = triclinic
VASP energy = -4.81 eV/atom
magnetic moment = 0.000 μB/f.u.

***

4.
A relaxed La2PrSm crystal, computed with GGA-PBE.

Lattice parameters (Å, degrees): 6.349 7.565 12.590 107.45 90.00 90.00
Fractional positions:
1 La 0.333 0.693 0.877
2 La 0.667 0.307 0.123
3 La 0.333 0.307 0.623
4 La 0.667 0.693 0.377
5 La 0.165 0.564 0.123
6 La 0.835 0.436 0.877
7 La 0.165 0.436 0.377
8 La 0.835 0.564 0.623
9 Pr 0.664 0.186 0.382
10 Pr 0.336 0.814 0.618
11 Pr 0.664 0.814 0.118
12 Pr 0.336 0.186 0.882
13 Sm 0.837 0.056 0.621
14 Sm 0.163 0.944 0.379
15 Sm 0.837 0.944 0.879
16 Sm 0.163 0.056 0.121

Calculated values
energy above the most stable polymorph in this dataset = 25 meV/atom
crystal system = monoclinic
VASP energy = -4.80 eV/atom
magnetic moment = 0.000 μB/f.u.